Density functional theory data (PBE) for AcSm8Tl2 after structural relaxation.

Lattice parameters (Å, degrees): 9.169 9.169 5.380 99.88 99.88 73.15
Atoms (fractional coordinates):
Ac (0.000, 0.000, 0.000)
Sm (0.172, 0.633, 0.212)
Sm (0.247, 0.247, 0.135)
Sm (0.367, 0.828, 0.788)
Sm (0.420, 0.420, 0.709)
Sm (0.580, 0.580, 0.291)
Sm (0.633, 0.172, 0.212)
Sm (0.753, 0.753, 0.865)
Sm (0.828, 0.367, 0.788)
Tl (0.146, 0.146, 0.575)
Tl (0.854, 0.854, 0.425)

Crystal system   monoclinic
ΔE_f   304 meV/atom
Magnetization   0.00 μB per formula unit
N(E_F)   1.47 states/eV per atom
Final energy   -3.932 eV per atom